{"formula": "Mg2ZnOsO6", "functional": "PBE-GGA", "state": "optimized geometry", "raw_formation_energy_ev_per_atom": -1.714, "e_tot_ev_per_cell": -62.58, "magmom_total_mub_per_fu": 2.0, "rho_g_cm3": 6.1, "cell": [[2.599, 1.501, 4.673], [-2.599, 1.501, 4.673], [0.000, -3.001, 4.673]], "species": ["Mg", "Mg", "Zn", "Os", "O", "O", "O", "O", "O", "O"], "frac_coords": [[0.000, 0.000, 0.000], [0.493, 0.493, 0.493], [0.217, 0.217, 0.217], [0.696, 0.696, 0.696], [0.069, 0.434, 0.790], [0.311, 0.897, 0.606], [0.434, 0.790, 0.069], [0.606, 0.311, 0.897], [0.790, 0.069, 0.434], [0.897, 0.606, 0.311]]}